Record 1
First-principles (PBE-GGA) data for AlHgAs2 after structural relaxation, as listed in Alexandria.

abc: 3.7297 3.7957 12.4091
angles: 90.00 90.00 90.00
Space group Imm2 (No. 44)
Unique sites:
Al (0.0000, 0.0000, 0.0000)
Hg (0.0000, 0.5000, 0.2727)
As (0.0000, 0.0000, 0.4661)
As (0.0000, 0.5000, 0.6468)

ΔE to the lowest computed polymorph = 196.4 meV per atom

***

Record 2
First-principles (PBE-GGA) data for AlHgAs4 after structural relaxation, as listed in Alexandria.

abc: 8.0258 8.0258 8.0258
angles: 90.00 90.00 90.00
Space group F-43m (No. 216)
Unique sites:
Al (0.0000, 0.0000, 0.0000)
Hg (0.2500, 0.2500, 0.2500)
As (0.1273, 0.1273, 0.6273)

***

Record 3
First-principles (PBE-GGA) data for AlHgAs2 after structural relaxation, as listed in Alexandria.

abc: 4.4376 3.8366 5.6312
angles: 90.00 109.66 90.00
Space group P2/m (No. 10)
Unique sites:
Al (0.0000, 0.0000, 0.0000)
Hg (0.5000, 0.0000, 0.5000)
As (0.2525, 0.5000, 0.8158)

ΔE to the lowest computed polymorph = 89.0 meV per atom

***

The records above give, respectively, N(E_F) values of 3.6 3.5 1.5 states/eV per cell.
The records above give, respectively, calculated volume values of 22.0 21.5 22.6 Å³ per atom.
The records above give, respectively, ΔH_f (0 K) values of 0.6 2.2 0.2 eV/f.u..